Computed, not measured: a relaxed structure of LaP2OsO at the PBE-GGA level of DFT.

a = 4.9085 Å, b = 4.9085 Å, c = 3.7904 Å
α = 90.00°, β = 90.00°, γ = 90.00°
With the nearest neighbours (Å) after each atom.
Positions (direct):
1 P 0.0000 0.5000 0.0000  2 Os 2.45
2 P 0.5000 0.0000 0.0000  2 Os 2.45
3 Os 0.0000 0.0000 0.0000  2 O 1.90
4 O 0.0000 0.0000 0.5000  2 Os 1.90
5 La 0.5000 0.5000 0.5000  8 P 3.10, 4 O 3.47

Energy relative to the lowest polymorph listed for this composition = 0 meV per atom
Space-group type = P4/mmm
Energy relative to the elements, uncorrected = -0.644 eV/atom